Here is a relaxed Li2Al2In crystal from the Alexandria database. Energies are from PBE-GGA.

Cell lengths 3.884, 3.884, 13.349 Å; angles 90.00, 90.00, 90.00 degrees
Space group I4/mmm (No. 139)
Symmetry-distinct sites (fractional):
Li1 0.000 0.500 0.250 [4 per cell]
Al1 0.000 0.000 0.097 [4 per cell]
In1 0.000 0.000 0.500 [2 per cell]

Summary:
As for the energy relative to the elements: 0.060 eV/atom. The density of states at the Fermi level comes out at 0.31 states/eV/atom.